A plane-wave DFT calculation with PBE was carried out for a relaxed Zr3Mn crystal.

```
data_Zr3Mn
_chemical_formula_sum 'Zr3 Mn1'
_symmetry_space_group_name_H-M 'P 1'
_symmetry_Int_Tables_number 1
_symmetry_space_group_name_Hall 'P 1'
_cell_length_a 4.851
_cell_length_b 4.851
_cell_length_c 4.851
_cell_angle_alpha 60.00
_cell_angle_beta 60.00
_cell_angle_gamma 60.00
loop_
_atom_site_label
_atom_site_fract_x
_atom_site_fract_y
_atom_site_fract_z
Zr1 0.000 0.000 0.000
Zr2 0.250 0.250 0.250
Zr3 0.750 0.750 0.750
Mn1 0.500 0.500 0.500
```

ΔE_f = 0.1959 eV per atom
Total DFT energy (no corrections) = -8.51 eV/atom
Total magnetization = 2.54 μB/f.u.


A plane-wave DFT calculation with PBE was carried out for a relaxed HoEr4Bi3 crystal.

```
data_HoEr4Bi3
_chemical_formula_sum 'Ho1 Er4 Bi3'
_symmetry_space_group_name_H-M 'P 1'
_symmetry_Int_Tables_number 1
_symmetry_space_group_name_Hall 'P 1'
_cell_length_a 6.323
_cell_length_b 6.323
_cell_length_c 10.065
_cell_angle_alpha 114.76
_cell_angle_beta 114.76
_cell_angle_gamma 41.58
loop_
_atom_site_label
_atom_site_fract_x
_atom_site_fract_y
_atom_site_fract_z
Ho1 0.000 0.000 0.000
Er1 0.124 0.124 0.401
Er2 0.349 0.349 0.150
Er3 0.651 0.651 0.850
Er4 0.876 0.876 0.599
Bi1 0.323 0.323 0.791
Bi2 0.500 0.500 0.500
Bi3 0.677 0.677 0.209
```

ΔE_f = -0.5532 eV per atom
Total DFT energy (no corrections) = -4.86 eV/atom
Total magnetization = 0.00 μB/f.u.


A plane-wave DFT calculation with PBE was carried out for a relaxed RbVBi3 crystal.

```
data_RbVBi3
_chemical_formula_sum 'Rb1 V1 Bi3'
_symmetry_space_group_name_H-M 'P 1'
_symmetry_Int_Tables_number 1
_symmetry_space_group_name_Hall 'P 1'
_cell_length_a 6.016
_cell_length_b 6.016
_cell_length_c 6.016
_cell_angle_alpha 90.00
_cell_angle_beta 90.00
_cell_angle_gamma 90.00
loop_
_atom_site_label
_atom_site_fract_x
_atom_site_fract_y
_atom_site_fract_z
Rb1 0.000 0.000 0.000
V1 0.500 0.500 0.500
Bi1 0.000 0.000 0.500
Bi2 0.000 0.500 0.000
Bi3 0.500 0.000 0.000
```

ΔE_f = 1.7217 eV per atom
Total DFT energy (no corrections) = -2.62 eV/atom
E above lowest polymorph = 1588.2 meV/atom
Total magnetization = 3.03 μB/f.u.


A plane-wave DFT calculation with PBE was carried out for a relaxed Ce2AlZnAu6 crystal.

```
data_Ce2AlZnAu6
_chemical_formula_sum 'Ce2 Al1 Zn1 Au6'
_symmetry_space_group_name_H-M 'P 1'
_symmetry_Int_Tables_number 1
_symmetry_space_group_name_Hall 'P 1'
_cell_length_a 6.856
_cell_length_b 6.856
_cell_length_c 8.849
_cell_angle_alpha 128.88
_cell_angle_beta 128.88
_cell_angle_gamma 47.62
loop_
_atom_site_label
_atom_site_fract_x
_atom_site_fract_y
_atom_site_fract_z
Ce1 0.244 0.244 0.217
Ce2 0.756 0.756 0.783
Al1 0.000 0.000 0.500
Zn1 0.500 0.500 0.000
Au1 0.226 0.725 0.231
Au2 0.251 0.251 0.603
Au3 0.275 0.774 0.769
Au4 0.725 0.226 0.231
Au5 0.749 0.749 0.397
Au6 0.774 0.275 0.769
```

ΔE_f = -0.4311 eV per atom
Total DFT energy (no corrections) = -4.09 eV/atom
Total magnetization = 2.32 μB/f.u.


A plane-wave DFT calculation with PBE was carried out for a relaxed Cs3SrB2S6 crystal.

```
data_Cs3SrB2S6
_chemical_formula_sum 'Cs3 Sr1 B2 S6'
_symmetry_space_group_name_H-M 'P 1'
_symmetry_Int_Tables_number 1
_symmetry_space_group_name_Hall 'P 1'
_cell_length_a 7.208
_cell_length_b 7.208
_cell_length_c 9.283
_cell_angle_alpha 90.00
_cell_angle_beta 90.00
_cell_angle_gamma 120.00
loop_
_atom_site_label
_atom_site_fract_x
_atom_site_fract_y
_atom_site_fract_z
Cs1 0.000 0.000 0.000
Cs2 0.333 0.667 0.676
Cs3 0.667 0.333 0.324
Sr1 0.000 0.000 0.500
B1 0.333 0.667 0.298
B2 0.667 0.333 0.702
S1 0.188 0.375 0.296
S2 0.188 0.812 0.296
S3 0.375 0.188 0.704
S4 0.625 0.812 0.296
S5 0.812 0.188 0.704
S6 0.812 0.625 0.704
```

Total DFT energy (no corrections) = -4.56 eV/atom
Total magnetization = 0.00 μB/f.u.
ΔE_f (raw) = -1.031 eV/atom


A plane-wave DFT calculation with PBE was carried out for a relaxed LiMg2Ge crystal.

```
data_LiMg2Ge
_chemical_formula_sum 'Li1 Mg2 Ge1'
_symmetry_space_group_name_H-M 'P 1'
_symmetry_Int_Tables_number 1
_symmetry_space_group_name_Hall 'P 1'
_cell_length_a 10.336
_cell_length_b 10.336
_cell_length_c 10.336
_cell_angle_alpha 17.33
_cell_angle_beta 17.33
_cell_angle_gamma 17.33
loop_
_atom_site_label
_atom_site_fract_x
_atom_site_fract_y
_atom_site_fract_z
Li1 0.000 0.000 0.000
Mg1 0.092 0.092 0.092
Mg2 0.908 0.908 0.908
Ge1 0.500 0.500 0.500
```

ΔE_f = 0.0708 eV per atom
Total DFT energy (no corrections) = -2.36 eV/atom
Total magnetization = 0.00 μB/f.u.


A plane-wave DFT calculation with PBE was carried out for a relaxed Rb2NdSnS4 crystal.

```
data_Rb2NdSnS4
_chemical_formula_sum 'Rb2 Nd1 Sn1 S4'
_symmetry_space_group_name_H-M 'P 1'
_symmetry_Int_Tables_number 1
_symmetry_space_group_name_Hall 'P 1'
_cell_length_a 7.229
_cell_length_b 4.152
_cell_length_c 8.053
_cell_angle_alpha 90.00
_cell_angle_beta 107.21
_cell_angle_gamma 90.00
loop_
_atom_site_label
_atom_site_fract_x
_atom_site_fract_y
_atom_site_fract_z
Rb1 0.000 0.000 0.000
Rb2 0.500 0.500 0.000
Nd1 0.000 0.500 0.500
Sn1 0.500 0.000 0.500
S1 0.239 0.000 0.696
S2 0.275 0.500 0.307
S3 0.725 0.500 0.693
S4 0.761 0.000 0.304
```

Total DFT energy (no corrections) = -4.65 eV/atom
Total magnetization = 0.00 μB/f.u.
ΔE_f (raw) = -1.245 eV/atom


A plane-wave DFT calculation with PBE was carried out for a relaxed MgZnGaFe crystal.

```
data_MgZnGaFe
_chemical_formula_sum 'Mg1 Zn1 Ga1 Fe1'
_symmetry_space_group_name_H-M 'P 1'
_symmetry_Int_Tables_number 1
_symmetry_space_group_name_Hall 'P 1'
_cell_length_a 4.357
_cell_length_b 4.357
_cell_length_c 4.357
_cell_angle_alpha 60.00
_cell_angle_beta 60.00
_cell_angle_gamma 60.00
loop_
_atom_site_label
_atom_site_fract_x
_atom_site_fract_y
_atom_site_fract_z
Mg1 0.000 0.000 0.000
Zn1 0.250 0.250 0.250
Ga1 0.750 0.750 0.750
Fe1 0.500 0.500 0.500
```

ΔE_f = 0.0716 eV per atom
Total DFT energy (no corrections) = -3.52 eV/atom
Total magnetization = 1.84 μB/f.u.


A plane-wave DFT calculation with PBE was carried out for a relaxed Mo3AsRh crystal.

```
data_Mo3AsRh
_chemical_formula_sum 'Mo3 As1 Rh1'
_symmetry_space_group_name_H-M 'P 1'
_symmetry_Int_Tables_number 1
_symmetry_space_group_name_Hall 'P 1'
_cell_length_a 4.722
_cell_length_b 4.722
_cell_length_c 4.722
_cell_angle_alpha 90.00
_cell_angle_beta 90.00
_cell_angle_gamma 90.00
loop_
_atom_site_label
_atom_site_fract_x
_atom_site_fract_y
_atom_site_fract_z
Mo1 0.000 0.000 0.500
Mo2 0.000 0.500 0.000
Mo3 0.500 0.000 0.000
As1 0.500 0.500 0.500
Rh1 0.000 0.000 0.000
```

ΔE_f = 1.6660 eV per atom
Total DFT energy (no corrections) = -7.23 eV/atom
E above lowest polymorph = 390.2 meV/atom
Total magnetization = 1.39 μB/f.u.


A plane-wave DFT calculation with PBE was carried out for a relaxed KBaCo2Cl8 crystal.

```
data_KBaCo2Cl8
_chemical_formula_sum 'K1 Ba1 Co2 Cl8'
_symmetry_space_group_name_H-M 'P 1'
_symmetry_Int_Tables_number 1
_symmetry_space_group_name_Hall 'P 1'
_cell_length_a 10.188
_cell_length_b 10.188
_cell_length_c 10.188
_cell_angle_alpha 38.68
_cell_angle_beta 38.68
_cell_angle_gamma 38.68
loop_
_atom_site_label
_atom_site_fract_x
_atom_site_fract_y
_atom_site_fract_z
K1 0.000 0.000 0.000
Ba1 0.500 0.500 0.500
Co1 0.257 0.257 0.257
Co2 0.743 0.743 0.743
Cl1 0.055 0.816 0.437
Cl2 0.184 0.563 0.945
Cl3 0.334 0.334 0.334
Cl4 0.437 0.055 0.816
Cl5 0.563 0.945 0.184
Cl6 0.666 0.666 0.666
Cl7 0.816 0.437 0.055
Cl8 0.945 0.184 0.563
```

Total DFT energy (no corrections) = -3.94 eV/atom
Total magnetization = 7.00 μB/f.u.
ΔE_f (raw) = -1.272 eV/atom


A plane-wave DFT calculation with PBE was carried out for a relaxed Tl2CuSe2 crystal.

```
data_Tl2CuSe2
_chemical_formula_sum 'Tl4 Cu2 Se4'
_symmetry_space_group_name_H-M 'P 1'
_symmetry_Int_Tables_number 1
_symmetry_space_group_name_Hall 'P 1'
_cell_length_a 7.447
_cell_length_b 7.447
_cell_length_c 8.579
_cell_angle_alpha 123.07
_cell_angle_beta 123.07
_cell_angle_gamma 50.02
loop_
_atom_site_label
_atom_site_fract_x
_atom_site_fract_y
_atom_site_fract_z
Tl1 0.092 0.092 0.349
Tl2 0.289 0.289 0.206
Tl3 0.711 0.711 0.794
Tl4 0.908 0.908 0.651
Cu1 0.390 0.390 0.930
Cu2 0.610 0.610 0.070
Se1 0.176 0.176 0.762
Se2 0.455 0.455 0.724
Se3 0.545 0.545 0.276
Se4 0.824 0.824 0.238
```

Total DFT energy (no corrections) = -3.39 eV/atom
Total magnetization = 0.00 μB/f.u.
ΔE_f (raw) = -0.233 eV/atom


A plane-wave DFT calculation with PBE was carried out for a relaxed BeTlP2Rh crystal.

```
data_BeTlP2Rh
_chemical_formula_sum 'Be1 Tl1 P2 Rh1'
_symmetry_space_group_name_H-M 'P 1'
_symmetry_Int_Tables_number 1
_symmetry_space_group_name_Hall 'P 1'
_cell_length_a 5.076
_cell_length_b 5.076
_cell_length_c 4.318
_cell_angle_alpha 90.00
_cell_angle_beta 90.00
_cell_angle_gamma 90.00
loop_
_atom_site_label
_atom_site_fract_x
_atom_site_fract_y
_atom_site_fract_z
Be1 0.000 0.000 0.000
Tl1 0.000 0.000 0.500
P1 0.000 0.500 0.500
P2 0.500 0.000 0.500
Rh1 0.500 0.500 0.000
```

ΔE_f = 1.7374 eV per atom
Total DFT energy (no corrections) = -3.12 eV/atom
Total magnetization = 0.00 μB/f.u.